Compound: CaPrNi4
Source: Alexandria
Functional: PBE
Structure: relaxed

a = 5.141 Å, b = 5.141 Å, c = 5.141 Å
α = 60.00°, β = 60.00°, γ = 60.00°
Element x y z (fractional)
Ca 0.000 0.000 0.000
Pr 0.750 0.750 0.750
Ni 0.375 0.375 0.375
Ni 0.375 0.375 0.876
Ni 0.375 0.876 0.375
Ni 0.876 0.375 0.375

Theoretical density: 7.19 g/cm³
Formation energy: -0.25 eV per atom
Total DFT energy (no corrections): -31.43 eV/f.u.
Calculated volume: 96.08 Å³ per cell
DOS(E_F): 6.38 states/eV per cell